[1]
{"formula": "SmBeRh2", "functional": "PBE-GGA", "state": "relaxed", "relative_energy_mev_per_atom": 0.0, "sg": "Cmmm", "total_energy_ev_per_atom": -6.400, "total_magnetization_mub_per_cell": 0.0, "lattice_angstrom": [[2.085, -7.912, 0.000], [2.085, 7.912, 0.000], [0.000, 0.000, 4.113]], "species": ["Sm", "Sm", "Be", "Be", "Rh", "Rh", "Rh", "Rh"], "frac_coords": [[0.141, 0.859, 0.000], [0.859, 0.141, 0.000], [0.432, 0.568, 0.500], [0.568, 0.432, 0.500], [0.000, 0.000, 0.500], [0.295, 0.705, 0.500], [0.500, 0.500, 0.000], [0.705, 0.295, 0.500]]}

[2]
{"formula": "Cu4SbIr", "functional": "PBE-GGA", "state": "relaxed", "sg": "F-43m", "total_energy_ev_per_atom": -4.741, "formation_energy_uncorrected_ev_per_atom": 0.153, "total_magnetization_mub_per_cell": 0.0, "lattice_angstrom": [[0.000, 3.471, 3.471], [3.471, 0.000, 3.471], [3.471, 3.471, 0.000]], "species": ["Cu", "Cu", "Cu", "Cu", "Sb", "Ir"], "frac_coords": [[0.124, 0.124, 0.124], [0.124, 0.124, 0.627], [0.124, 0.627, 0.124], [0.627, 0.124, 0.124], [0.500, 0.500, 0.500], [0.750, 0.750, 0.750]]}